Entry 1:
TbPmAu2O8 | PBE | relaxed

Geometry as POSCAR:
```
TbPmAu2O8
1.0
-4.292 -0.921 3.126
0.722 -5.309 -0.573
4.904 3.079 2.996
Tb Pm Au O
1 1 2 8
Cartesian
-0.586 -0.479 3.699
0.000 0.000 0.000
-1.785 -3.115 1.276
1.921 -2.673 1.850
-1.882 -4.563 2.993
-0.108 -1.685 1.723
1.526 -1.540 3.763
3.132 1.486 2.616
-2.212 -2.137 3.257
0.224 -4.111 1.461
3.488 -1.118 2.336
1.172 1.064 4.046
```



Entry 2:
Mn2FeCo (PBE, relaxed); ΔE_f = 0.135 eV per atom; relative energy among the computed polymorphs = 125 meV per atom
1.0
4.039 0.000 0.000
0.000 2.452 -0.001
0.000 0.697 4.543
Co Fe Mn
1 1 2
Cartesian
2.020 0.787 1.136
2.020 2.361 3.407
0.000 3.136 4.536
0.000 1.587 2.277



Entry 3:
KMo3 (PBE, relaxed); ΔE_f = 0.837 eV per atom; relative energy among the computed polymorphs = 99 meV per atom
1.0
-1.219 -1.620 2.223
0.729 -5.655 -3.722
8.044 -1.262 3.493
K Mo
2 6
Cartesian
4.062 -0.637 1.764
3.737 -4.262 0.979
0.447 -0.976 1.570
7.353 -3.924 1.173
1.569 -4.025 -2.073
1.304 -1.966 -0.718
6.496 -2.933 3.462
6.959 -6.530 1.094



| no. | electronic total energy (eV/atom) | theoretical density (g/cm3) |
| --- | --- | --- |
| 1 | -5.6910 | 8.9 |
| 2 | -8.3422 | 8.3 |
| 3 | -7.5611 | 6.0 |